# 1
Compound: PuBiAu2O8
Source: Alexandria via LeMat-Bulk
Functional: PBE-GGA
Structure: optimized geometry

Structure (CIF):
```
data_PuBiAu2O8
_chemical_formula_sum 'Pu2 Bi2 Au4 O16'
_cell_length_a 6.8187
_cell_length_b 6.8187
_cell_length_c 7.5605
_cell_angle_alpha 90.00
_cell_angle_beta 90.00
_cell_angle_gamma 90.00
_symmetry_space_group_name_H-M 'I -4 m 2'
_symmetry_Int_Tables_number 119
_symmetry_space_group_name_Hall 'I -4 -2'
loop_
_atom_site_label
_atom_site_type_symbol
_atom_site_fract_x
_atom_site_fract_y
_atom_site_fract_z
Pu1 Pu 0.0000 0.0000 0.0000
Bi1 Bi 0.0000 0.5000 0.2500
Au1 Au 0.0000 0.0000 0.5000
Au2 Au 0.0000 0.5000 0.7500
O1 O 0.0000 0.1714 0.2850
O2 O 0.0000 0.2939 0.9776
```

Calculated values
Its raw formation energy is -0.80 eV/atom. The density of states at the Fermi level is 0.72 states/eV/atom.

***

# 2
Compound: SrBiAuO4
Source: Alexandria via LeMat-Bulk
Functional: PBE-GGA
Structure: optimized geometry

Structure (CIF):
```
data_SrBiAuO4
_chemical_formula_sum 'Sr4 Bi4 Au4 O16'
_cell_length_a 6.6713
_cell_length_b 10.5651
_cell_length_c 7.3443
_cell_angle_alpha 90.00
_cell_angle_beta 90.00
_cell_angle_gamma 90.00
_symmetry_space_group_name_H-M 'C m c m'
_symmetry_Int_Tables_number 63
_symmetry_space_group_name_Hall '-C 2c 2'
loop_
_atom_site_label
_atom_site_type_symbol
_atom_site_fract_x
_atom_site_fract_y
_atom_site_fract_z
Sr1 Sr 0.0000 0.0000 0.0000
Bi1 Bi 0.0000 0.3636 0.2500
Au1 Au 0.0000 0.2805 0.7500
O1 O 0.0000 0.2427 0.0235
O2 O 0.2425 0.4829 0.2500
```

Calculated values
Its raw formation energy is -1.13 eV/atom. The density of states at the Fermi level is 0.37 states/eV/atom.

***

# 3
Compound: Sr2BiAuO6
Source: Alexandria via LeMat-Bulk
Functional: PBE-GGA
Structure: optimized geometry

Structure (CIF):
```
data_Sr2BiAuO6
_chemical_formula_sum 'Sr4 Bi2 Au2 O12'
_cell_length_a 11.6093
_cell_length_b 5.6638
_cell_length_c 5.2410
_cell_angle_alpha 90.00
_cell_angle_beta 113.08
_cell_angle_gamma 90.00
_symmetry_space_group_name_H-M 'C 1 2/m 1'
_symmetry_Int_Tables_number 12
loop_
_symmetry_equiv_pos_as_xyz
'x,y,z'
'-x,-y,-z'
'-x,y,-z'
'x,-y,z'
'x+1/2,y+1/2,z'
'-x+1/2,-y+1/2,-z'
'-x+1/2,y+1/2,-z'
'x+1/2,-y+1/2,z'
loop_
_atom_site_label
_atom_site_type_symbol
_atom_site_fract_x
_atom_site_fract_y
_atom_site_fract_z
Sr1 Sr 0.2415 0.0000 0.2106
Bi1 Bi 0.0000 0.5000 0.0000
Au1 Au 0.0000 0.0000 0.5000
O1 O 0.0803 0.2392 0.8047
O2 O 0.1862 0.5000 0.2816
```

Calculated values
Its raw formation energy is -1.57 eV/atom.

***

# 4
Compound: TaBiAuO2
Source: Alexandria via LeMat-Bulk
Functional: PBE-GGA
Structure: optimized geometry

Structure (CIF):
```
data_TaBiAuO2
_chemical_formula_sum 'Ta1 Bi1 Au1 O2'
_cell_length_a 3.9734
_cell_length_b 3.9734
_cell_length_c 5.8477
_cell_angle_alpha 90.00
_cell_angle_beta 90.00
_cell_angle_gamma 90.00
_symmetry_space_group_name_H-M 'P 4/m m m'
_symmetry_Int_Tables_number 123
_symmetry_space_group_name_Hall '-P 4 2'
loop_
_atom_site_label
_atom_site_type_symbol
_atom_site_fract_x
_atom_site_fract_y
_atom_site_fract_z
Ta1 Ta 0.0000 0.0000 0.0000
Bi1 Bi 0.5000 0.5000 0.5000
Au1 Au 0.0000 0.0000 0.5000
O1 O 0.0000 0.5000 0.0000
```

Calculated values
Its raw formation energy is -1.25 eV/atom. The density of states at the Fermi level is 0.46 states/eV/atom.

***

Q: raw formation energy of number 1 (PuBiAu2O8)?
A: -0.80 eV/atom

***

Q: Among the records above, which one has the highest raw formation energy?
A: PuBiAu2O8